Below is an optimized crystal structure of MnPRh2, with properties calculated at the PBE level.

Its formation energy is -0.080 eV per atom. For the volume, the calculation gives 55.3 Å³/f.u. For the total DFT energy (no corrections), the calculation gives -7.40 eV per atom.

abc: 5.401 8.457 2.808
angles: 90.00 120.44 90.00
Space group C2/m (No. 12)
Asymmetric unit:
Mn1 0.000 0.000 0.000 [2 per cell]
P1 0.000 0.500 0.000 [2 per cell]
Rh1 0.250 0.250 0.500 [4 per cell]

Below is an optimized crystal structure of Co2TcW, with properties calculated at the PBE level.

Its formation energy is 0.612 eV per atom. For the volume, the calculation gives 55.2 Å³/f.u. The energy above the most stable polymorph in this dataset is 639 meV/atom. For the total DFT energy (no corrections), the calculation gives -8.77 eV per atom.

abc: 6.548 6.548 5.154
angles: 90.00 90.00 90.00
Space group I-42d (No. 122)
Asymmetric unit:
Co1 0.247 0.750 0.125 [8 per cell]
Tc1 0.000 0.000 0.500 [4 per cell]
W1 0.000 0.000 0.000 [4 per cell]

Below is an optimized crystal structure of CaBeAs2, with properties calculated at the PBE level.

Its formation energy is -0.020 eV per atom. For the volume, the calculation gives 76.7 Å³/f.u. For the total DFT energy (no corrections), the calculation gives -3.78 eV per atom.

abc: 4.296 4.296 8.314
angles: 90.00 90.00 90.00
Space group I4/mmm (No. 139)
Asymmetric unit:
Ca1 0.000 0.000 0.000 [2 per cell]
Be1 0.000 0.000 0.500 [2 per cell]
As1 0.000 0.500 0.250 [4 per cell]

Below is an optimized crystal structure of Ce4Sm3PuS8, with properties calculated at the PBE level.

For the volume, the calculation gives 364.5 Å³/f.u. As for the raw formation energy: -2.0132 eV/atom. For the total DFT energy (no corrections), the calculation gives -7.34 eV per atom.

abc: 8.0033 8.0033 19.7132
angles: 90.00 90.00 120.00
Space group R-3m (No. 166, hexagonal axes)
Asymmetric unit:
Ce1 0.0000 0.0000 0.0000 [3 per cell]
Ce2 0.0000 0.5000 0.0000 [9 per cell]
Sm1 0.0000 0.5000 0.5000 [9 per cell]
Pu1 0.0000 0.0000 0.5000 [3 per cell]
S1 0.0000 0.0000 0.2493 [6 per cell]
S2 0.0017 0.5008 0.2488 [18 per cell]

Below is an optimized crystal structure of YTlAs2, with properties calculated at the PBE level.

Its formation energy is -0.411 eV per atom. For the volume, the calculation gives 93.6 Å³/f.u. The energy above the most stable polymorph in this dataset is 209 meV/atom. For the total DFT energy (no corrections), the calculation gives -4.94 eV per atom.

abc: 4.675 4.675 8.563
angles: 90.00 90.00 90.00
Space group I4/mmm (No. 139)
Asymmetric unit:
Y1 0.000 0.000 0.000 [2 per cell]
Tl1 0.000 0.000 0.500 [2 per cell]
As1 0.000 0.500 0.250 [4 per cell]

Below is an optimized crystal structure of CuNiMo2, with properties calculated at the PBE level.

Its formation energy is 0.159 eV per atom. For the volume, the calculation gives 55.1 Å³/f.u. For the total DFT energy (no corrections), the calculation gives -7.73 eV per atom.

abc: 2.594 3.884 5.475
angles: 90.00 90.00 90.00
Space group Pmm2 (No. 25)
Asymmetric unit:
Cu1 0.000 0.000 0.000 [1 per cell]
Ni1 0.500 0.500 0.778 [1 per cell]
Mo1 0.000 0.000 0.528 [1 per cell]
Mo2 0.500 0.500 0.249 [1 per cell]